(1)
The following is a DFT calculation (PBE) of RbPaHgTe3 after structural relaxation.

Computed properties:
DOS at the Fermi energy (states/eV/cell): 5.60
E (eV/atom): -4.055

Geometry as CIF:
```
data_RbPaHgTe3
_cell_length_a 9.375
_cell_length_b 4.371
_cell_length_c 11.425
_cell_angle_alpha 90.00
_cell_angle_beta 112.15
_cell_angle_gamma 90.00
_space_group_name_H-M_alt 'P 1 21/m 1'
_space_group_IT_number 11
loop_
_space_group_symop_operation_xyz
'x,y,z'
'-x,-y,-z'
'-x,y+1/2,-z'
'x,-y+1/2,z'
loop_
_atom_site_label
_atom_site_type_symbol
_atom_site_fract_x
_atom_site_fract_y
_atom_site_fract_z
_atom_site_occupancy
Rb1 Rb 0.017 0.250 0.280 1
Pa1 Pa 0.442 0.250 0.167 1
Hg1 Hg 0.450 0.750 0.376 1
Te1 Te 0.191 0.750 0.081 1
Te2 Te 0.295 0.750 0.560 1
Te3 Te 0.343 0.250 0.867 1
```

(2)
The following is a DFT calculation (PBE) of K2GaSbAu6 after structural relaxation.

Computed properties:
DOS at the Fermi energy (states/eV/cell): 7.96
E (eV/atom): -3.065

Geometry as CIF:
```
data_K2GaSbAu6
_cell_length_a 10.387
_cell_length_b 10.395
_cell_length_c 10.411
_cell_angle_alpha 90.00
_cell_angle_beta 90.00
_cell_angle_gamma 90.00
_space_group_name_H-M_alt 'F m m m'
_space_group_IT_number 69
_space_group_name_Hall '-F 2 2'
loop_
_atom_site_label
_atom_site_type_symbol
_atom_site_fract_x
_atom_site_fract_y
_atom_site_fract_z
_atom_site_occupancy
K1 K 0.250 0.250 0.250 1
Ga1 Ga 0.000 0.000 0.000 1
Sb1 Sb 0.000 0.000 0.500 1
Au1 Au 0.000 0.000 0.240 1
Au2 Au 0.000 0.240 0.000 1
Au3 Au 0.240 0.000 0.000 1
```

> The highest E belongs to which entry?

K2GaSbAu6

> What is the DOS at the Fermi energy in the second record?

7.96 states/eV/cell

> Which of these has the highest E?

K2GaSbAu6

> Look up the E of the second one.

-3.065 eV/atom